Entry 1:
The following is a PBE-GGA calculation of a relaxed Mg2Zn3Au8 crystal, from Alexandria via LeMat-Bulk.

Cell: 7.2397 7.2397 21.1218 Å, 90.00 90.00 120.00°
Space group R-3m (No. 166, hexagonal axes)
Asymmetric unit:
Mg 0.0000 0.0000 0.0660 (multiplicity 6)
Zn 0.0000 0.0000 0.3015 (multiplicity 6)
Zn 0.0000 0.0000 0.5000 (multiplicity 3)
Au 0.0000 0.0000 0.1865 (multiplicity 6)
Au 0.0717 0.5359 0.2677 (multiplicity 18)

- Energy of formation from the pure elements: 26.1 kJ per mole of atoms
- VASP energy: -2.286 eV per atom
- Magnetization: 0.00 μB per cell



Entry 2:
The following is a PBE-GGA calculation of a relaxed KRe4Pt crystal, from Alexandria via LeMat-Bulk.

Cell: 7.509 7.509 7.509 Å, 90.00 90.00 90.00°
Space group F-43m (No. 216)
Asymmetric unit:
K 0.000 0.000 0.000 (multiplicity 4)
Re 0.125 0.125 0.375 (multiplicity 16)
Pt 0.250 0.250 0.750 (multiplicity 4)

- Energy of formation from the pure elements: 99.1 kJ per mole of atoms
- VASP energy: -8.461 eV per atom
- Magnetization: 0.00 μB per cell



Entry 3:
The following is a PBE-GGA calculation of a relaxed Mg2Cd5Ag12 crystal, from Alexandria via LeMat-Bulk.

Cell: 15.143 9.769 5.070 Å, 90.00 103.15 90.00°
Space group C2/m (No. 12)
Asymmetric unit:
Mg 0.000 0.239 0.000 (multiplicity 4)
Cd 0.000 0.000 0.500 (multiplicity 2)
Cd 0.159 0.500 0.873 (multiplicity 4)
Cd 0.221 0.000 0.554 (multiplicity 4)
Ag 0.052 0.500 0.292 (multiplicity 4)
Ag 0.100 0.247 0.606 (multiplicity 8)
Ag 0.119 0.000 0.005 (multiplicity 4)
Ag 0.200 0.250 0.203 (multiplicity 8)

- Energy of formation from the pure elements: -4.2 kJ per mole of atoms
- VASP energy: -2.253 eV per atom
- Magnetization: 0.00 μB per cell



Entry 4:
The following is a PBE-GGA calculation of a relaxed CeNdCdIn crystal, from Alexandria via LeMat-Bulk.

Cell: 7.730 7.730 7.730 Å, 90.00 90.00 90.00°
Space group F-43m (No. 216)
Asymmetric unit:
Ce 0.000 0.000 0.000 (multiplicity 4)
Nd 0.000 0.000 0.500 (multiplicity 4)
Cd 0.250 0.250 0.250 (multiplicity 4)
In 0.250 0.250 0.750 (multiplicity 4)

- Energy of formation from the pure elements: -29.9 kJ per mole of atoms
- VASP energy: -3.899 eV per atom
- Magnetization: 5.67 μB per cell



Which formula does entry 3 have?
Mg2Cd5Ag12